# 1
# Pm7Pr4Tl

Crystalline Pm7Pr4Tl at its relaxed geometry (PBE-GGA, the Alexandria database).

As for the total energy: -4.4351 eV per atom. The total magnetization is 0.000 Bohr magnetons per cell.

The structure belongs to space group C2/m (No. 12); the cell edges are 17.011, 6.071 and 9.412 Å and the angles 90.00°, 118.07° and 90.00°. The inequivalent atoms are Pm at (0.000, 0.000, 0.000), Pm at (0.073, 0.500, 0.411), Pm at (0.202, 0.500, 0.208), Pm at (0.215, 0.500, 0.869), Pr at (0.081, 0.000, 0.696), Pr at (0.181, 0.000, 0.397) and Tl at (0.000, 0.500, 0.000).

# 2
# Pm5Pr4Tl

Crystalline Pm5Pr4Tl at its relaxed geometry (PBE-GGA, the Alexandria database).

As for the total energy: -4.5092 eV per atom. Its energy above the most stable polymorph in this dataset is 0.000 eV per atom. The total magnetization is 0.000 Bohr magnetons per cell.

The structure belongs to space group P4/mmm (No. 123); the cell edges are 4.283, 4.283 and 18.385 Å and the angles 90.00°, 90.00° and 90.00°. The inequivalent atoms are Pm at (0.000, 0.000, 0.000), Pm at (0.000, 0.000, 0.208), Pm at (0.000, 0.000, 0.412), Pr at (0.500, 0.500, 0.102), Pr at (0.500, 0.500, 0.303) and Tl at (0.500, 0.500, 0.500).

# 3
# Pm3Pr3Tl2

Crystalline Pm3Pr3Tl2 at its relaxed geometry (PBE-GGA, the Alexandria database).

As for the total energy: -4.2795 eV per atom. Its energy above the most stable polymorph in this dataset is 0.090 eV per atom. The total magnetization is 0.000 Bohr magnetons per cell.

The structure belongs to space group Cmcm (No. 63); the cell edges are 5.417, 12.519 and 15.828 Å and the angles 90.00°, 90.00° and 90.00°. The inequivalent atoms are Pm at (0.000, 0.059, 0.250), Pm at (0.000, 0.134, 0.530), Pr at (0.000, 0.222, 0.750), Pr at (0.000, 0.459, 0.608) and Tl at (0.000, 0.280, 0.134).

# 4
# Pm4PrTl3

Crystalline Pm4PrTl3 at its relaxed geometry (PBE-GGA, the Alexandria database).

As for the total energy: -4.0887 eV per atom. The total magnetization is 0.001 Bohr magnetons per cell.

The structure belongs to space group Pmma (No. 51); the cell edges are 11.543, 7.112 and 5.879 Å and the angles 90.00°, 90.00° and 90.00°. The inequivalent atoms are Pm at (0.000, 0.247, 0.000), Pm at (0.250, 0.245, 0.426), Pr at (0.000, 0.500, 0.500), Tl at (0.000, 0.000, 0.500), Tl at (0.250, 0.000, 0.917) and Tl at (0.250, 0.500, 0.914).

# 5
# Pm12Pr5Tl2

Crystalline Pm12Pr5Tl2 at its relaxed geometry (PBE-GGA, the Alexandria database).

As for the total energy: -4.5060 eV per atom. The total magnetization is 0.000 Bohr magnetons per cell.

The structure belongs to space group C2/m (No. 12); the cell edges are 15.757, 9.496 and 8.683 Å and the angles 90.00°, 93.34° and 90.00°. The inequivalent atoms are Pm at (0.055, 0.000, 0.320), Pm at (0.079, 0.500, 0.884), Pm at (0.125, 0.193, 0.665), Pm at (0.146, 0.316, 0.237), Pr at (0.000, 0.500, 0.500), Pr at (0.190, 0.000, 0.009), Pr at (0.233, 0.500, 0.582) and Tl at (0.000, 0.184, 0.000).

# 6
# PmPr2Tl4

Crystalline PmPr2Tl4 at its relaxed geometry (PBE-GGA, the Alexandria database).

As for the total energy: -3.5551 eV per atom. Its energy above the most stable polymorph in this dataset is 0.077 eV per atom. The total magnetization is 1.115 Bohr magnetons per cell.

The structure belongs to space group R-3m (No. 166, hexagonal axes); the cell edges are 4.9206, 4.9206 and 32.1533 Å and the angles 90.00°, 90.00° and 120.00°. The inequivalent atoms are Pm at (0.0000, 0.0000, 0.0000), Pr at (0.0000, 0.0000, 0.1284), Tl at (0.0000, 0.0000, 0.2479) and Tl at (0.0000, 0.0000, 0.3823).

Q: total energy of number 4 (Pm4PrTl3)?
A: -4.0887 eV per atom